Entry 1:
Computed, not measured: an optimized crystal structure of Zr2MnHg at the PBEsol level of DFT.

Unit cell a=3.2324 b=3.2324 c=25.2662 alpha=90.00 beta=90.00 gamma=120.00
With the nearest neighbours (Å) after each atom.
Space group R-3m (No. 166, hexagonal axes)
Unique sites:
1 Zr 0.0000 0.0000 0.2372 (multiplicity 6)  3 Mn 2.58
2 Mn 0.0000 0.0000 0.5000 (multiplicity 3)  6 Zr 2.58
3 Hg 0.0000 0.0000 0.0000 (multiplicity 3)  6 Zr 3.06, 6 Hg 3.23

## Properties
The total DFT energy (no corrections) is -85.2 eV for the cell shown. The value obtained for the magnetic moment is 0.0007 μB/atom. The formation enthalpy at 0 K is 0.1 eV/f.u. The density is 9.5 Mg/m³.

***

Entry 2:
Computed, not measured: an optimized crystal structure of CdTeMo at the PBEsol level of DFT.

Unit cell a=3.2691 b=3.2691 c=6.9112 alpha=90.00 beta=90.00 gamma=120.00
With the nearest neighbours (Å) after each atom.
Space group P3m1 (No. 156)
Unique sites:
1 Cd 0.0000 0.0000 0.0000 (multiplicity 1)  3 Mo 2.90
2 Te 0.6667 0.3333 0.4155 (multiplicity 1)  3 Mo 2.64
3 Mo 0.3333 0.6667 0.6823 (multiplicity 1)  3 Te 2.64, 3 Cd 2.90

## Properties
The energy above the lowest structure with this stoichiometry comes out at 0.0000 eV per atom. The total DFT energy (no corrections) is -15.8 eV for the cell shown. The value obtained for the magnetic moment is 0.0000 μB/atom. The density is 8.7 Mg/m³.

***

| no. | DOS at the Fermi energy (states/eV per atom) |
| --- | --- |
| 1 | 0.80 |
| 2 | 0.33 |